Entry 1
This record from Alexandria via LeMat-Bulk describes a relaxed U2SbN crystal. The functional is GGA-PBE.

Computed properties:
Calculated volume in Å³ per atom: 20.25
Total magnetic moment in μB per formula unit: 0.549
N(E_F) in states/eV/cell: 14.7
Crystal system: tetragonal

a b c (Å): 11.0280 11.0280 11.0280
angles (deg): 159.65 159.65 28.93
Atoms (fractional coordinates):
U: 0.0000 0.5000 0.5000
U: 0.1965 0.1965 0.0000
U: 0.5000 0.0000 0.5000
U: 0.8035 0.8035 0.0000
Sb: 0.3857 0.3857 0.0000
Sb: 0.6143 0.6143 0.0000
N: 0.2500 0.7500 0.5000
N: 0.7500 0.2500 0.5000

---

Entry 2
This record from Alexandria via LeMat-Bulk describes a relaxed U2SbN crystal. The functional is GGA-PBE.

Computed properties:
Calculated volume in Å³ per atom: 18.96
Total magnetic moment in μB per formula unit: 0.004
N(E_F) in states/eV/cell: 6.7
Crystal system: tetragonal

a b c (Å): 3.2163 3.2163 7.3312
angles (deg): 90.00 90.00 90.00
Atoms (fractional coordinates):
U: 0.0000 0.0000 0.1635
U: 0.0000 0.0000 0.8365
Sb: 0.5000 0.5000 0.5000
N: 0.5000 0.5000 0.0000

---

entry 1 has the most favorable energy; the next structure is 579 meV/atom above.

---

Entry 1
This record from Alexandria via LeMat-Bulk describes a relaxed SbW3N crystal. The functional is GGA-PBE.

Computed properties:
Calculated volume in Å³ per atom: 14.91
Total magnetic moment in μB per formula unit: 0.000
N(E_F) in states/eV/cell: 3.4
Crystal system: cubic

a b c (Å): 4.2091 4.2091 4.2091
angles (deg): 90.00 90.00 90.00
Atoms (fractional coordinates):
Sb: 0.0000 0.0000 0.0000
W: 0.0000 0.5000 0.5000
W: 0.5000 0.0000 0.5000
W: 0.5000 0.5000 0.0000
N: 0.5000 0.5000 0.5000

---

Entry 2
This record from Alexandria via LeMat-Bulk describes a relaxed SbW3N crystal. The functional is GGA-PBE.

Computed properties:
Calculated volume in Å³ per atom: 23.38
Total magnetic moment in μB per formula unit: 0.001
N(E_F) in states/eV/cell: 4.6
Crystal system: cubic

a b c (Å): 4.8895 4.8895 4.8895
angles (deg): 90.00 90.00 90.00
Atoms (fractional coordinates):
Sb: 0.0000 0.0000 0.0000
W: 0.0000 0.0000 0.5000
W: 0.0000 0.5000 0.0000
W: 0.5000 0.0000 0.0000
N: 0.5000 0.5000 0.5000

---

entry 1 has the most favorable energy; the next structure is 3452 meV/atom above.

---

Entry 1
This record from Alexandria via LeMat-Bulk describes a relaxed Y2SbN crystal. The functional is GGA-PBE.

Computed properties:
Calculated volume in Å³ per atom: 20.90
Total magnetic moment in μB per formula unit: 0.000
N(E_F) in states/eV/cell: 3.2
Crystal system: trigonal

a b c (Å): 7.7184 7.7184 7.7184
angles (deg): 27.00 27.00 27.00
Atoms (fractional coordinates):
Y: 0.2249 0.2249 0.2249
Y: 0.7751 0.7751 0.7751
Sb: 0.0000 0.0000 0.0000
N: 0.5000 0.5000 0.5000

---

Entry 2
This record from Alexandria via LeMat-Bulk describes a relaxed Y2SbN crystal. The functional is GGA-PBE.

Computed properties:
Calculated volume in Å³ per atom: 22.98
Total magnetic moment in μB per formula unit: 0.000
N(E_F) in states/eV/cell: 1.0
Crystal system: tetragonal

a b c (Å): 4.5335 4.5335 8.9457
angles (deg): 90.00 90.00 90.00
Atoms (fractional coordinates):
Y: 0.2500 0.2500 0.1738
Y: 0.2500 0.7500 0.5000
Y: 0.7500 0.2500 0.5000
Y: 0.7500 0.7500 0.8262
Sb: 0.2500 0.2500 0.8114
Sb: 0.7500 0.7500 0.1886
N: 0.2500 0.2500 0.4220
N: 0.7500 0.7500 0.5780

---

entry 2 has the most favorable energy; the next structure is 188 meV/atom above.

---

Entry 1
This record from Alexandria via LeMat-Bulk describes a relaxed Y2SbN crystal. The functional is GGA-PBE.

Computed properties:
Calculated volume in Å³ per atom: 23.57
Total magnetic moment in μB per formula unit: 0.000
N(E_F) in states/eV/cell: 1.2
Crystal system: orthorhombic

a b c (Å): 7.1386 4.0868 12.9273
angles (deg): 90.00 90.00 90.00
Atoms (fractional coordinates):
Y: 0.1123 0.2500 0.2318
Y: 0.1780 0.2500 0.9639
Y: 0.3220 0.7500 0.4639
Y: 0.3877 0.7500 0.7318
Y: 0.6123 0.2500 0.2682
Y: 0.6780 0.2500 0.5361
Y: 0.8220 0.7500 0.0361
Y: 0.8877 0.7500 0.7682
Sb: 0.1022 0.2500 0.6344
Sb: 0.3978 0.7500 0.1344
Sb: 0.6022 0.2500 0.8656
Sb: 0.8978 0.7500 0.3656
N: 0.0553 0.7500 0.9088
N: 0.4447 0.2500 0.4088
N: 0.5553 0.7500 0.5912
N: 0.9447 0.2500 0.0912

---

Entry 2
This record from Alexandria via LeMat-Bulk describes a relaxed Y2SbN crystal. The functional is GGA-PBE.

Computed properties:
Calculated volume in Å³ per atom: 21.88
Total magnetic moment in μB per formula unit: 0.000
N(E_F) in states/eV/cell: 1.2
Crystal system: cubic

a b c (Å): 4.9835 4.9835 4.9835
angles (deg): 60.00 60.00 60.00
Atoms (fractional coordinates):
Y: 0.2500 0.2500 0.2500
Y: 0.7500 0.7500 0.7500
Sb: 0.0000 0.0000 0.0000
N: 0.5000 0.5000 0.5000

---

entry 1 has the most favorable energy; the next structure is 1147 meV/atom above.

---

Entry 1
This record from Alexandria via LeMat-Bulk describes a relaxed Y2Sb2N crystal. The functional is GGA-PBE.

Computed properties:
Calculated volume in Å³ per atom: 24.03
Total magnetic moment in μB per formula unit: 0.000
N(E_F) in states/eV/cell: 6.8
Crystal system: tetragonal

a b c (Å): 7.3180 7.3180 4.4878
angles (deg): 90.00 90.00 90.00
Atoms (fractional coordinates):
Y: 0.1577 0.3423 0.0000
Y: 0.3423 0.8423 0.0000
Y: 0.6577 0.1577 0.0000
Y: 0.8423 0.6577 0.0000
Sb: 0.1621 0.6621 0.5000
Sb: 0.3379 0.1621 0.5000
Sb: 0.6621 0.8379 0.5000
Sb: 0.8379 0.3379 0.5000
N: 0.0000 0.0000 0.5000
N: 0.5000 0.5000 0.5000

---

Entry 2
This record from Alexandria via LeMat-Bulk describes a relaxed Y2Sb2N crystal. The functional is GGA-PBE.

Computed properties:
Calculated volume in Å³ per atom: 27.50
Total magnetic moment in μB per formula unit: 0.500
N(E_F) in states/eV/cell: 2.9
Crystal system: tetragonal

a b c (Å): 5.7071 5.7071 5.7071
angles (deg): 116.52 116.52 96.13
Atoms (fractional coordinates):
Y: 0.2500 0.7500 0.5000
Y: 0.7500 0.2500 0.5000
Sb: 0.2145 0.2145 0.0000
Sb: 0.7855 0.7855 0.0000
N: 0.5000 0.5000 0.0000

---

entry 1 has the most favorable energy; the next structure is 11 meV/atom above.

---

Entry 1
This record from Alexandria via LeMat-Bulk describes a relaxed Y4Sb2N crystal. The functional is GGA-PBE.

Computed properties:
Calculated volume in Å³ per atom: 24.81
Total magnetic moment in μB per formula unit: 0.000
N(E_F) in states/eV/cell: 6.8
Crystal system: tetragonal

a b c (Å): 8.7384 8.7384 8.7384
angles (deg): 149.28 149.28 44.00
Atoms (fractional coordinates):
Y: 0.0000 0.5000 0.5000
Y: 0.1652 0.1652 0.0000
Y: 0.5000 0.0000 0.5000
Y: 0.8348 0.8348 0.0000
Sb: 0.3576 0.3576 0.0000
Sb: 0.6424 0.6424 0.0000
N: 0.0000 0.0000 0.0000

---

Entry 2
This record from Alexandria via LeMat-Bulk describes a relaxed Y4Sb2N crystal. The functional is GGA-PBE.

Computed properties:
Calculated volume in Å³ per atom: 24.59
Total magnetic moment in μB per formula unit: 0.001
N(E_F) in states/eV/cell: 7.1
Crystal system: monoclinic

a b c (Å): 6.3662 6.3662 8.1491
angles (deg): 114.56 114.56 35.39
Atoms (fractional coordinates):
Y: 0.0591 0.0591 0.3267
Y: 0.3597 0.3597 0.9487
Y: 0.6403 0.6403 0.0513
Y: 0.9409 0.9409 0.6733
Sb: 0.3401 0.3401 0.3202
Sb: 0.6599 0.6599 0.6798
N: 0.0000 0.0000 0.0000

---

entry 1 has the most favorable energy; the next structure is 68 meV/atom above.